(1)
# Co3SnO8

Co3SnO8 after structural relaxation (GGA+U, Alexandria).

Results
Total DFT energy (no corrections) = -5.7857 eV/atom
SG = No. 186

a b c (Å): 5.6751 5.6751 9.3741
angles (deg): 90.00 90.00 120.00
Element x y z (fractional)
Co 0.1677 0.8323 0.2129
O 0.4839 0.9679 0.3253
Co 0.8323 0.6647 0.7129
O 0.8434 0.6868 0.1093
Co 0.3353 0.1677 0.7129
O 0.0000 0.0000 0.8158
O 0.1566 0.8434 0.6093
O 0.4839 0.5161 0.3253
O 0.8434 0.1566 0.1093
Co 0.6647 0.8323 0.2129
O 0.9679 0.4839 0.8253
O 0.3333 0.6667 0.1083
O 0.6868 0.8434 0.6093
O 0.5161 0.0321 0.8253
O 0.3132 0.1566 0.1093
O 0.0000 0.0000 0.3158
Co 0.1677 0.3353 0.2129
O 0.0321 0.5161 0.3253
Sn 0.3333 0.6667 0.4915
Sn 0.6667 0.3333 0.9915
O 0.1566 0.3132 0.6093
O 0.6667 0.3333 0.6083
O 0.5161 0.4839 0.8253
Co 0.8323 0.1677 0.7129


(2)
# CoSnO2

CoSnO2 after structural relaxation (GGA+U, Alexandria).

Results
N(E_F) = 0.643 states/eV per cell
Total DFT energy (no corrections) = -5.5706 eV/atom
SG = No. 166

a b c (Å): 6.6335 6.6335 6.6335
angles (deg): 25.95 25.95 25.95
Element x y z (fractional)
Co 0.5000 0.5000 0.5000
Sn 0.0000 0.0000 0.0000
O 0.1178 0.1178 0.1178
O 0.8822 0.8822 0.8822


(3)
# CoSnO2

CoSnO2 after structural relaxation (GGA+U, Alexandria).

Results
N(E_F) = 0.644 states/eV per cell
Total DFT energy (no corrections) = -5.6299 eV/atom
SG = No. 122

a b c (Å): 5.0791 5.0791 6.0782
angles (deg): 65.30 65.30 90.00
Element x y z (fractional)
Co 0.5000 0.5000 0.0000
Co 0.2500 0.7500 0.5000
O 0.3750 0.4349 0.7500
Sn 0.0000 0.0000 0.0000
O 0.1849 0.6250 0.2500
O 0.8750 0.8151 0.7500
O 0.5651 0.1250 0.2500
Sn 0.7500 0.2500 0.5000


(4)
# CoSnO2

CoSnO2 after structural relaxation (GGA+U, Alexandria).

Results
N(E_F) = 1.994 states/eV per cell
Total DFT energy (no corrections) = -5.4805 eV/atom
SG = No. 166

a b c (Å): 6.2332 6.2332 6.2332
angles (deg): 32.47 32.47 32.47
Element x y z (fractional)
Sn 0.5000 0.5000 0.5000
O 0.1027 0.1027 0.1027
O 0.8973 0.8973 0.8973
Co 0.0000 0.0000 0.0000


(5)
# CoSnO

CoSnO after structural relaxation (GGA+U, Alexandria).

Results
N(E_F) = 1.305 states/eV per cell
Total DFT energy (no corrections) = -5.0460 eV/atom
Relative energy among the computed polymorphs = 101 meV per atom
SG = No. 156

a b c (Å): 3.3209 5.5543 3.3214
angles (deg): 89.99 119.96 90.01
Element x y z (fractional)
Sn 0.9225 0.2638 0.8645
Co 0.9231 0.7641 0.8642
O 0.2566 0.7388 0.5305


(6)
# Co3SnO6

Co3SnO6 after structural relaxation (GGA+U, Alexandria).

Results
N(E_F) = 3.230 states/eV per cell
Total DFT energy (no corrections) = -5.9371 eV/atom
SG = No. 14

a b c (Å): 5.0043 5.1663 8.2300
angles (deg): 90.00 86.92 90.00
Element x y z (fractional)
O 0.2830 0.7986 0.3958
Co 0.5000 0.5000 0.0000
Sn 0.0000 0.0000 0.0000
O 0.3298 0.6025 0.7322
O 0.8205 0.7077 0.5784
O 0.7830 0.7014 0.8958
Co 0.5270 0.9335 0.7693
O 0.3205 0.7923 0.0784
Co 0.9730 0.4335 0.7307
Co 0.0000 0.0000 0.5000
O 0.6795 0.2077 0.9216
O 0.6702 0.3975 0.2678
O 0.1702 0.1025 0.7678
O 0.2170 0.2986 0.1042
O 0.1795 0.2923 0.4216
O 0.8298 0.8975 0.2322
O 0.7170 0.2014 0.6042
Sn 0.5000 0.5000 0.5000
Co 0.0270 0.5665 0.2693
Co 0.4730 0.0665 0.2307


(7)
# CoSnO

CoSnO after structural relaxation (GGA+U, Alexandria).

Results
N(E_F) = 1.157 states/eV per cell
Total DFT energy (no corrections) = -5.0356 eV/atom
Relative energy among the computed polymorphs = 111 meV per atom
SG = No. 6

a b c (Å): 3.2510 3.0985 4.5806
angles (deg): 91.83 90.00 90.00
Element x y z (fractional)
Sn 0.5437 0.2629 0.9041
O 0.5437 0.7362 0.5551
Co 0.0437 0.7675 0.2815


(8)
# Co4SnO8

Co4SnO8 after structural relaxation (GGA+U, Alexandria).

Results
N(E_F) = 2.355 states/eV per cell
Total DFT energy (no corrections) = -5.9484 eV/atom
SG = No. 166

a b c (Å): 5.7884 5.7884 6.0408
angles (deg): 90.00 118.63 120.00
Element x y z (fractional)
Co 0.0000 0.0000 0.0000
Sn 0.0000 0.5000 0.5000
Co 0.5000 0.5000 0.0000
O 0.0378 0.7500 0.7878
O 0.5501 0.2750 0.8251
O 0.9622 0.7123 0.2122
Co 0.5000 0.0000 0.0000
O 0.0378 0.2877 0.7878
O 0.4999 0.2499 0.2122
O 0.5001 0.7501 0.7878
O 0.4499 0.7250 0.1749
Co 0.0000 0.5000 0.0000
O 0.9622 0.2500 0.2122


(9)
# Co2SnO

Co2SnO after structural relaxation (GGA+U, Alexandria).

Results
N(E_F) = 4.901 states/eV per cell
Total DFT energy (no corrections) = -4.1979 eV/atom
Relative energy among the computed polymorphs = 669 meV per atom
SG = No. 225

a b c (Å): 4.3277 4.3277 4.3277
angles (deg): 60.00 60.00 60.00
Element x y z (fractional)
O 0.0000 0.0000 0.0000
Co 0.7500 0.7500 0.7500
Co 0.2500 0.2500 0.2500
Sn 0.5000 0.5000 0.5000


(10)
# CoSn3O

CoSn3O after structural relaxation (GGA+U, Alexandria).

Results
N(E_F) = 6.081 states/eV per cell
Total DFT energy (no corrections) = -3.9859 eV/atom
Relative energy among the computed polymorphs = 121 meV per atom
SG = No. 221

a b c (Å): 4.6604 4.6604 4.6604
angles (deg): 90.00 90.00 90.00
Element x y z (fractional)
Sn 0.0000 0.0000 0.5000
Co 0.5000 0.5000 0.5000
O 0.0000 0.0000 0.0000
Sn 0.5000 0.0000 0.0000
Sn 0.0000 0.5000 0.0000


(11)
# CoSnO

CoSnO after structural relaxation (GGA+U, Alexandria).

Results
N(E_F) = 1.133 states/eV per cell
Total DFT energy (no corrections) = -4.9477 eV/atom
Relative energy among the computed polymorphs = 199 meV per atom
SG = No. 8

a b c (Å): 3.5769 4.3602 4.3561
angles (deg): 101.22 119.41 60.69
Element x y z (fractional)
O 0.7345 0.7283 0.4410
Co 0.1960 0.7591 0.4100
Sn 0.2007 0.2793 0.8898


(12)
# Co2SnO

Co2SnO after structural relaxation (GGA+U, Alexandria).

Results
N(E_F) = 0.743 states/eV per cell
Total DFT energy (no corrections) = -4.8673 eV/atom
Relative energy among the computed polymorphs = 0 meV per atom
SG = No. 122

a b c (Å): 6.1630 6.1630 5.4054
angles (deg): 55.24 55.24 90.00
Element x y z (fractional)
Co 0.8750 0.7675 0.7500
Co 0.2325 0.6250 0.2500
Sn 0.0000 0.0000 0.0000
Co 0.5175 0.1250 0.2500
O 0.2500 0.7500 0.5000
O 0.5000 0.5000 0.0000
Sn 0.7500 0.2500 0.5000
Co 0.3750 0.4825 0.7500


(13)
# Sr3CoSn2O9

Sr3CoSn2O9 after structural relaxation (GGA+U, Alexandria).

Results
N(E_F) = 2.667 states/eV per cell
Total DFT energy (no corrections) = -6.1262 eV/atom
SG = No. 164

a b c (Å): 5.6767 5.6767 6.9387
angles (deg): 90.00 90.00 120.00
Element x y z (fractional)
Sr 0.3333 0.6667 0.6595
O 0.3193 0.1597 0.6589
Sr 0.6667 0.3333 0.3405
O 0.1597 0.8403 0.3411
O 0.8403 0.1597 0.6589
Sn 0.3333 0.6667 0.1747
O 0.5000 0.5000 0.0000
O 0.8403 0.6807 0.6589
O 0.5000 0.0000 0.0000
O 0.0000 0.5000 0.0000
O 0.6807 0.8403 0.3411
Sn 0.6667 0.3333 0.8253
Co 0.0000 0.0000 0.5000
Sr 0.0000 0.0000 0.0000
O 0.1597 0.3193 0.3411


(14)
# SrCo2Sn2O7

SrCo2Sn2O7 after structural relaxation (GGA+U, Alexandria).

Results
Total DFT energy (no corrections) = -6.1429 eV/atom
SG = No. 8

a b c (Å): 4.1649 4.2004 9.1315
angles (deg): 103.32 103.18 90.00
Element x y z (fractional)
O 0.8815 0.3875 0.7631
O 0.6198 0.1186 0.2396
O 0.2634 0.2597 0.5269
O 0.1185 0.6126 0.2369
Sn 0.3836 0.3840 0.7672
Co 0.7476 0.2497 0.4951
Co 0.2524 0.7502 0.5049
Sn 0.6164 0.6156 0.2329
O 0.3802 0.8814 0.7604
O 0.7366 0.7403 0.4731
Sr 0.0000 0.9987 0.0000
O 0.5000 0.5013 0.0000


(15)
# CoSnTeO2

CoSnTeO2 after structural relaxation (GGA+U, Alexandria).

Results
N(E_F) = 3.432 states/eV per cell
Total DFT energy (no corrections) = -4.4908 eV/atom
Relative energy among the computed polymorphs = 0 meV per atom
SG = No. 123

a b c (Å): 4.0729 5.0438 4.0729
angles (deg): 90.00 90.00 90.00
Element x y z (fractional)
Sn 0.5000 0.5000 0.5000
Co 0.0000 0.0000 0.0000
O 0.0000 0.0000 0.5000
O 0.5000 0.0000 0.0000
Te 0.0000 0.5000 0.0000


(16)
# CoSnTeO6

CoSnTeO6 after structural relaxation (GGA+U, Alexandria).

Results
Total DFT energy (no corrections) = -5.8375 eV/atom
SG = No. 163

a b c (Å): 5.2738 5.2738 9.0466
angles (deg): 90.00 90.00 120.00
Element x y z (fractional)
Co 0.0000 0.0000 0.5000
O 0.6594 0.6406 0.1306
Te 0.6667 0.3333 0.2500
O 0.3406 0.3594 0.8694
Co 0.0000 0.0000 0.0000
Te 0.3333 0.6667 0.7500
O 0.9812 0.6406 0.3694
O 0.6594 0.0188 0.3694
Sn 0.3333 0.6667 0.2500
O 0.6406 0.6594 0.6306
O 0.0188 0.6594 0.8694
Sn 0.6667 0.3333 0.7500
O 0.3594 0.0188 0.1306
O 0.3594 0.3406 0.3694
O 0.9812 0.3406 0.1306
O 0.3406 0.9812 0.6306
O 0.6406 0.9812 0.8694
O 0.0188 0.3594 0.6306


(17)
# CoSnTeO2

CoSnTeO2 after structural relaxation (GGA+U, Alexandria).

Results
N(E_F) = 2.685 states/eV per cell
Total DFT energy (no corrections) = -4.3608 eV/atom
Relative energy among the computed polymorphs = 130 meV per atom
SG = No. 123

a b c (Å): 3.9542 5.6711 3.9542
angles (deg): 90.00 90.00 90.00
Element x y z (fractional)
Sn 0.0000 0.5000 0.0000
Te 0.5000 0.5000 0.5000
O 0.0000 0.0000 0.5000
Co 0.0000 0.0000 0.0000
O 0.5000 0.0000 0.0000


(18)
# Co2SnTeO6

Co2SnTeO6 after structural relaxation (GGA+U, Alexandria).

Results
Total DFT energy (no corrections) = -5.8407 eV/atom
SG = No. 146

a b c (Å): 5.4110 5.4120 5.7406
angles (deg): 61.88 61.89 60.00
Element x y z (fractional)
O 0.6227 0.2135 0.2592
O 0.7214 0.1087 0.7508
Te 0.3109 0.3109 0.0674
O 0.4191 0.7214 0.7508
Sn 0.8136 0.8136 0.5592
O 0.9045 0.6229 0.2591
O 0.1086 0.4190 0.7507
Co 0.0247 0.0246 0.9261
O 0.2135 0.9045 0.2594
Co 0.5225 0.5225 0.4326


(19)
# TiCoSn2O

TiCoSn2O after structural relaxation (GGA+U, Alexandria).

Results
N(E_F) = 2.702 states/eV per cell
Total DFT energy (no corrections) = -5.3225 eV/atom
SG = No. 123

a b c (Å): 5.0045 3.5531 5.0045
angles (deg): 90.00 90.00 90.00
Element x y z (fractional)
O 0.0000 0.0000 0.0000
Co 0.0000 0.5000 0.0000
Ti 0.5000 0.5000 0.5000
Sn 0.0000 0.0000 0.5000
Sn 0.5000 0.0000 0.0000


(20)
# VCo2SnO

VCo2SnO after structural relaxation (GGA+U, Alexandria).

Results
N(E_F) = 5.590 states/eV per cell
Total DFT energy (no corrections) = -3.4502 eV/atom
SG = No. 123

a b c (Å): 4.8924 5.2964 4.8924
angles (deg): 90.00 90.00 90.00
Element x y z (fractional)
V 0.0000 0.5000 0.0000
Co 0.5000 0.0000 0.0000
Co 0.0000 0.0000 0.5000
O 0.5000 0.5000 0.5000
Sn 0.0000 0.0000 0.0000